## PrReO6 (PBE)

Data for a relaxed structure of PrReO6.

Structure (POSCAR):
```
PrReO6
1.0
-3.6476 -0.2335 2.5832
1.1016 -4.3319 0.2325
3.1659 1.5999 3.6068
Pr Re O
1 1 6
direct
0.0000 0.0000 0.0000 Pr
0.5000 0.5000 0.5000 Re
0.2244 0.2244 0.6396 O
0.5622 0.1806 0.2409 O
0.7756 0.7756 0.3604 O
0.8194 0.4378 0.7591 O
0.4378 0.8194 0.7591 O
0.1806 0.5622 0.2409 O
```

## Properties
The value obtained for the uncorrected formation energy is -1.64 eV/atom. Its density of states at the Fermi level is 3.3 states/eV/cell.

## Bi2IrAu (PBE)

Data for a relaxed structure of Bi2IrAu.

Structure (POSCAR):
```
Bi2IrAu
1.0
-3.4725 -3.5828 -2.2353
4.2222 -2.8926 -1.9227
0.4847 -7.4247 4.4612
Ir Au Bi
2 2 4
direct
0.5000 0.5000 0.0000 Ir
0.2500 0.7500 0.5000 Ir
0.0000 0.0000 0.0000 Au
0.7500 0.2500 0.5000 Au
0.5972 0.1250 0.2500 Bi
0.1528 0.6250 0.2500 Bi
0.3750 0.4028 0.7500 Bi
0.8750 0.8472 0.7500 Bi
```

## Properties
Its density of states at the Fermi level is 2.4 states/eV/cell. The formation enthalpy at 0 K is 9.07 kcal/mol of atoms.

## Pm2Pr8Sc3 (PBE)

Data for a relaxed structure of Pm2Pr8Sc3.

Structure (POSCAR):
```
Pm2Pr8Sc3
1.0
-1.8304 0.9255 5.9161
-4.9980 -3.0555 -2.1656
2.8265 -10.6286 2.6158
Pm Pr Sc
2 8 3
direct
0.7678 0.6147 0.5387 Pm
0.2322 0.3853 0.4613 Pm
0.0879 0.4542 0.1442 Pr
0.9121 0.5458 0.8558 Pr
0.1612 0.9227 0.2979 Pr
0.8388 0.0773 0.7021 Pr
0.3062 0.8465 0.6227 Pr
0.3789 0.3091 0.7844 Pr
0.6211 0.6909 0.2156 Pr
0.6938 0.1535 0.3773 Pr
0.0000 0.0000 0.0000 Sc
0.5421 0.2184 0.0720 Sc
0.4579 0.7816 0.9280 Sc
```

## Properties
Its density of states at the Fermi level is 20.1 states/eV/cell. The value obtained for the energy above the most stable polymorph in this dataset is 0.000 eV per atom. The formation enthalpy at 0 K is 1.15 kcal/mol of atoms.

## Li2CaOs (PBE)

Data for a relaxed structure of Li2CaOs.

Structure (POSCAR):
```
Li2CaOs
1.0
-0.5773 -2.1691 -1.7737
1.3077 -3.2615 3.5630
-4.9014 -0.0952 1.7117
Ca Li Os
1 2 1
direct
0.0000 0.5000 0.5000 Ca
0.0000 0.0000 0.0000 Li
0.5000 0.5000 0.0000 Li
0.5000 0.0000 0.5000 Os
```

## Properties
Its density of states at the Fermi level is 2.9 states/eV/cell. The value obtained for the energy above the most stable polymorph in this dataset is 0.171 eV per atom. The formation enthalpy at 0 K is 11.63 kcal/mol of atoms.

## ZrSc2Cd (PBE)

Data for a relaxed structure of ZrSc2Cd.

Structure (POSCAR):
```
ZrSc2Cd
1.0
-2.3545 -3.8671 -9.5782
0.5845 -5.1550 -9.2371
-1.9889 -6.6569 -7.9982
Cd Sc Zr
1 2 1
direct
0.7499 0.7499 0.7499 Cd
0.0020 0.0020 0.0020 Sc
0.2479 0.2479 0.2479 Sc
0.5002 0.5002 0.5002 Zr
```

## Properties
Its density of states at the Fermi level is 5.6 states/eV/cell. The value obtained for the energy above the most stable polymorph in this dataset is 0.153 eV per atom. The formation enthalpy at 0 K is -0.44 kcal/mol of atoms.

## CrCuSi2P (PBE)

Data for a relaxed structure of CrCuSi2P.

Structure (POSCAR):
```
CrCuSi2P
1.0
4.4057 0.0000 0.0000
0.0000 4.6328 0.0000
0.0000 0.0000 4.4057
Cr Si Cu P
1 2 1 1
direct
0.0000 0.0000 0.0000 Cr
0.0000 0.0000 0.5000 Si
0.5000 0.0000 0.0000 Si
0.0000 0.5000 0.0000 Cu
0.5000 0.5000 0.5000 P
```

## Properties
The value obtained for the uncorrected formation energy is 1.05 eV/atom. Its density of states at the Fermi level is 5.7 states/eV/cell.